Computed, not measured: crystalline La2BeOs at its relaxed geometry at the PBE level of DFT.

Summary:
Crystal system = tetragonal
Energy of formation = 0.5029 eV per atom
Space-group type = I-42d

```
La2BeOs
1.0
-3.999 3.999 3.049
3.999 -3.999 3.049
3.999 3.999 -3.049
La Be Os
4 2 2
Direct
0.090 0.125 0.465
0.375 0.910 0.035
0.660 0.625 0.535
0.875 0.340 0.965
0.250 0.750 0.500
0.500 0.500 0.000
0.000 0.000 0.000
0.750 0.250 0.500
```